## Tb2Lu2Zr (PBE)

Data for a relaxed Tb2Lu2Zr crystal.

V	296.6	Å³/cell
total energy	-5.03	eV per atom
M_tot	1.222	μB/f.u.

a b c (Å): 9.183 9.183 9.183
angles (deg): 141.60 141.60 55.43
Atoms (fractional coordinates):
Tb1 0.000 0.000 0.000
Tb2 0.000 0.000 0.500
Tb3 0.000 0.500 0.000
Tb4 0.500 0.000 0.500
Lu1 0.185 0.435 0.750
Lu2 0.435 0.185 0.250
Lu3 0.565 0.815 0.750
Lu4 0.815 0.565 0.250
Zr1 0.375 0.625 0.750
Zr2 0.625 0.375 0.250